Compound: CsHoCuBr5
Source: Alexandria via LeMat-Bulk
Functional: PBE-GGA
Structure: relaxed

```
data_CsHoCuBr5
_chemical_formula_sum 'Cs4 Ho4 Cu4 Br20'
_symmetry_space_group_name_H-M 'C 1 2/c 1'
_symmetry_Int_Tables_number 15
_cell_length_a 9.5686
_cell_length_b 12.6278
_cell_length_c 10.6042
_cell_angle_alpha 90.00
_cell_angle_beta 113.05
_cell_angle_gamma 90.00
loop_
_symmetry_equiv_pos_as_xyz
'x,y,z'
'-x,-y,-z'
'-x,y,-z+1/2'
'x,-y,z+1/2'
'x+1/2,y+1/2,z'
'-x+1/2,-y+1/2,-z'
'-x+1/2,y+1/2,-z+1/2'
'x+1/2,-y+1/2,z+1/2'
loop_
_atom_site_label
_atom_site_type_symbol
_atom_site_fract_x
_atom_site_fract_y
_atom_site_fract_z
Cs1 Cs 0.0000 0.1507 0.2500
Ho1 Ho 0.0000 0.5000 0.0000
Cu1 Cu 0.0000 0.1918 0.7500
Br1 Br 0.0000 0.4311 0.2500
Br2 Br 0.0984 0.2968 0.6051
Br3 Br 0.2020 0.0770 0.9222
```

Compound: Cs2CuIBr6
Source: Alexandria via LeMat-Bulk
Functional: PBE-GGA
Structure: relaxed

```
data_Cs2CuIBr6
_chemical_formula_sum 'Cs4 Cu2 I2 Br12'
_symmetry_space_group_name_H-M 'I 4/m m m'
_symmetry_Int_Tables_number 139
_symmetry_space_group_name_Hall '-I 4 2'
_cell_length_a 8.1457
_cell_length_b 8.1457
_cell_length_c 11.7670
_cell_angle_alpha 90.00
_cell_angle_beta 90.00
_cell_angle_gamma 90.00
loop_
_atom_site_label
_atom_site_type_symbol
_atom_site_fract_x
_atom_site_fract_y
_atom_site_fract_z
Cs1 Cs 0.0000 0.5000 0.2500
Cu1 Cu 0.0000 0.0000 0.0000
I1 I 0.0000 0.0000 0.5000
Br1 Br 0.0000 0.0000 0.2699
Br2 Br 0.2068 0.2068 0.0000
```

Compound: CsCuI2Br6
Source: Alexandria via LeMat-Bulk
Functional: PBE-GGA
Structure: relaxed

```
data_CsCuI2Br6
_chemical_formula_sum 'Cs1 Cu1 I2 Br6'
_symmetry_space_group_name_H-M 'P 1'
_symmetry_Int_Tables_number 1
_cell_length_a 7.3588
_cell_length_b 7.7664
_cell_length_c 8.5193
_cell_angle_alpha 106.22
_cell_angle_beta 91.89
_cell_angle_gamma 106.14
loop_
_symmetry_equiv_pos_as_xyz
'x,y,z'
loop_
_atom_site_label
_atom_site_type_symbol
_atom_site_fract_x
_atom_site_fract_y
_atom_site_fract_z
Cs1 Cs 0.0000 0.0000 0.0000
Cu1 Cu 0.0461 0.5524 0.4184
I1 I 0.3555 0.6822 0.0103
I2 I 0.7501 0.4307 0.8354
Br1 Br 0.0095 0.2557 0.4562
Br2 Br 0.0872 0.8528 0.3877
Br3 Br 0.2967 0.5005 0.2577
Br4 Br 0.4157 0.8207 0.7615
Br5 Br 0.6928 0.3170 0.0991
Br6 Br 0.7987 0.6040 0.5837
```

What did we get for energy relative to the elements, uncorrected? Answer: -1442 -853 -454 meV per atom, in the order shown.
What did we get for magnetization? Answer: 0.60 0.00 0.00 Bohr magnetons per cell, in the order shown.